Crystalline Ac2HoPuN5 at its relaxed geometry, computed with GGA-PBE.

Unit cell a=7.441 b=7.441 c=11.481 alpha=90.00 beta=90.00 gamma=151.19
Element x y z (fractional)
Ac 0.102 0.898 0.500
Ac 0.145 0.855 0.092
Ac 0.855 0.145 0.592
Ac 0.898 0.102 0.000
Ho 0.224 0.776 0.825
Ho 0.776 0.224 0.325
Pu 0.468 0.532 0.271
Pu 0.532 0.468 0.771
N 0.059 0.941 0.863
N 0.273 0.727 0.469
N 0.331 0.669 0.208
N 0.390 0.610 0.817
N 0.490 0.510 0.596
N 0.510 0.490 0.096
N 0.610 0.390 0.317
N 0.669 0.331 0.708
N 0.727 0.273 0.969
N 0.941 0.059 0.363

- Electronic total energy: -8.713 eV per atom
- SG: Cmc2_1
- Total magnetic moment: 2.0 μB/f.u.
- Density of states at the Fermi level: 9.23 states/eV per cell
- Uncorrected formation energy: -1.0741 eV per atom